## Zr2SbAs (GGA-PBE)

Data for a geometry-optimized Zr2SbAs structure.

a b c (Å): 9.321 9.321 9.321
angles (deg): 21.05 21.05 21.05
Fractional coordinates of all 4 atoms:
Sb 0.752 0.752 0.752
As 0.505 0.505 0.505
Zr 0.000 0.000 0.000
Zr 0.243 0.243 0.243

Formation energy from raw total energies   -0.16 eV/atom
Energy   -6.6294 eV per atom
SG   No. 160
Density of states at the Fermi level   3.140 states/eV/f.u.